TbDyHf | the Alexandria database | PBE | relaxed; total DFT energy (no corrections) = -0.461 Ry/atom; ΔE to the lowest computed polymorph = 1 meV/atom; formation enthalpy at 0 K = 0.122 eV/atom; symmetry = P-1 (2)
1.0
3.373 0.000 0.000
1.678 5.640 0.000
1.682 1.570 8.826
Tb Dy Hf
2 2 2
Cartesian
1.681 2.075 3.529
5.052 5.135 5.297
3.364 2.506 6.830
3.369 4.704 1.996
3.365 5.531 8.147
3.368 1.679 0.678